First-principles (PBE) data for Ce2NiPd after structural relaxation, as listed in the Alexandria database.

Geometry as POSCAR:
```
Ce2NiPd
1.0
0.0000 3.5061 3.5061
3.5061 0.0000 3.5061
3.5061 3.5061 0.0000
Ce Ni Pd
2 1 1
direct
0.2500 0.2500 0.2500
0.7500 0.7500 0.7500
0.0000 0.0000 0.0000
0.5000 0.5000 0.5000
```

Summary:
Energy of formation from the pure elements in eV/atom: -0.394
ΔE to the lowest computed polymorph in meV/atom: 34
Space-group type: Fm-3m, No. 225

=====

First-principles (PBE) data for Ce2Ni15Pd2 after structural relaxation, as listed in the Alexandria database.

Geometry as POSCAR:
```
Ce2Ni15Pd2
1.0
4.2102 2.4307 4.0675
-4.2102 2.4307 4.0675
0.0000 -4.8615 4.0675
Ce Ni Pd
2 15 2
direct
0.1582 0.1582 0.1582
0.8418 0.8418 0.8418
0.0000 0.5000 0.5000
0.1511 0.1511 0.6603
0.1511 0.6603 0.1511
0.1994 0.5000 0.8006
0.1994 0.8006 0.5000
0.3397 0.8489 0.8489
0.5000 0.0000 0.5000
0.5000 0.1994 0.8006
0.5000 0.5000 0.0000
0.5000 0.8006 0.1994
0.6603 0.1511 0.1511
0.8006 0.1994 0.5000
0.8006 0.5000 0.1994
0.8489 0.3397 0.8489
0.8489 0.8489 0.3397
0.3935 0.3935 0.3935
0.6065 0.6065 0.6065
```

Summary:
Energy of formation from the pure elements in eV/atom: -0.218
Space-group type: R-3m, No. 166

=====

First-principles (PBE) data for CeNiPd2 after structural relaxation, as listed in the Alexandria database.

Geometry as POSCAR:
```
CeNiPd2
1.0
0.0000 3.2913 3.2913
3.2913 0.0000 3.2913
3.2913 3.2913 0.0000
Ce Ni Pd
1 1 2
direct
0.0000 0.0000 0.0000
0.5000 0.5000 0.5000
0.2500 0.2500 0.2500
0.7500 0.7500 0.7500
```

Summary:
Energy of formation from the pure elements in eV/atom: -0.383
ΔE to the lowest computed polymorph in meV/atom: 224
Space-group type: Fm-3m, No. 225

=====

First-principles (PBE) data for CeNiPd after structural relaxation, as listed in the Alexandria database.

Geometry as POSCAR:
```
CeNiPd
1.0
4.7168 -2.3391 0.0000
4.7168 2.3391 0.0000
-2.3408 0.0000 4.9098
Ce Ni Pd
2 2 2
direct
0.1889 0.1889 0.1846
0.8111 0.8111 0.8154
0.1338 0.1338 0.6494
0.8662 0.8662 0.3506
0.4715 0.4715 0.7242
0.5285 0.5285 0.2758
```

Summary:
Energy of formation from the pure elements in eV/atom: -0.479
ΔE to the lowest computed polymorph in meV/atom: 42
Space-group type: C2/m, No. 12

=====

First-principles (PBE) data for Ce2Ni9Pd after structural relaxation, as listed in the Alexandria database.

Geometry as POSCAR:
```
Ce2Ni9Pd
1.0
2.4535 1.4165 8.0294
-2.4535 1.4165 8.0294
0.0000 -2.8330 8.0294
Ce Ni Pd
2 9 1
direct
0.1293 0.1293 0.1293
0.8707 0.8707 0.8707
0.0800 0.5827 0.5827
0.3330 0.3330 0.3330
0.4173 0.4173 0.9200
0.4173 0.9200 0.4173
0.5000 0.5000 0.5000
0.5827 0.0800 0.5827
0.5827 0.5827 0.0800
0.6670 0.6670 0.6670
0.9200 0.4173 0.4173
0.0000 0.0000 0.0000
```

Summary:
Energy of formation from the pure elements in eV/atom: -0.216
Space-group type: R-3m, No. 166

=====

First-principles (PBE) data for Ce3Ni7Pd2 after structural relaxation, as listed in the Alexandria database.

Geometry as POSCAR:
```
Ce3Ni7Pd2
1.0
2.5215 1.4558 8.4658
-2.5215 1.4558 8.4658
0.0000 -2.9116 8.4658
Ce Ni Pd
3 7 2
direct
0.0000 0.0000 0.0000
0.1383 0.1383 0.1383
0.8617 0.8617 0.8617
0.0857 0.5875 0.5875
0.4125 0.4125 0.9143
0.4125 0.9143 0.4125
0.5000 0.5000 0.5000
0.5875 0.0857 0.5875
0.5875 0.5875 0.0857
0.9143 0.4125 0.4125
0.3331 0.3331 0.3331
0.6669 0.6669 0.6669
```

Summary:
Energy of formation from the pure elements in eV/atom: -0.440
Space-group type: R-3m, No. 166

=====

First-principles (PBE) data for Ce3Ni8Pd after structural relaxation, as listed in the Alexandria database.

Geometry as POSCAR:
```
Ce3Ni8Pd
1.0
2.4920 1.4388 8.2658
-2.4920 1.4388 8.2658
0.0000 -2.8775 8.2658
Ce Ni Pd
3 8 1
direct
0.0000 0.0000 0.0000
0.1299 0.1299 0.1299
0.5181 0.5181 0.5181
0.0680 0.5702 0.5702
0.0720 0.0720 0.5675
0.0720 0.5675 0.0720
0.3204 0.3204 0.3204
0.5675 0.0720 0.0720
0.5702 0.0680 0.5702
0.5702 0.5702 0.0680
0.8201 0.8201 0.8201
0.6372 0.6372 0.6372
```

Summary:
Energy of formation from the pure elements in eV/atom: -0.414
Space-group type: R3m, No. 160

=====

First-principles (PBE) data for CeNiPd after structural relaxation, as listed in the Alexandria database.

Geometry as POSCAR:
```
CeNiPd
1.0
4.8056 -1.9955 0.0000
4.8056 1.9955 0.0000
-3.7419 0.0000 5.7844
Ce Ni Pd
2 2 2
direct
0.0591 0.0591 0.2996
0.9409 0.9409 0.7004
0.3589 0.3589 0.3380
0.6411 0.6411 0.6620
0.3227 0.3227 0.9214
0.6773 0.6773 0.0786
```

Summary:
Energy of formation from the pure elements in eV/atom: -0.520
ΔE to the lowest computed polymorph in meV/atom: 0
Space-group type: C2/m, No. 12

=====

First-principles (PBE) data for Ce2NiPd after structural relaxation, as listed in the Alexandria database.

Geometry as POSCAR:
```
Ce2NiPd
1.0
3.5657 0.0000 0.0000
0.0000 3.5657 0.0000
0.0000 0.0000 6.6085
Ce Ni Pd
2 1 1
direct
0.0000 0.0000 0.2206
0.0000 0.0000 0.7794
0.5000 0.5000 0.0000
0.5000 0.5000 0.5000
```

Summary:
Energy of formation from the pure elements in eV/atom: -0.428
ΔE to the lowest computed polymorph in meV/atom: 0
Space-group type: P4/mmm, No. 123

=====

First-principles (PBE) data for CeNiPd2 after structural relaxation, as listed in the Alexandria database.

Geometry as POSCAR:
```
CeNiPd2
1.0
4.0601 0.0000 0.0000
0.0000 4.0601 0.0000
0.0000 0.0000 4.1325
Ce Ni Pd
1 1 2
direct
0.0000 0.0000 0.0000
0.5000 0.5000 0.0000
0.0000 0.5000 0.5000
0.5000 0.0000 0.5000
```

Summary:
Energy of formation from the pure elements in eV/atom: -0.607
ΔE to the lowest computed polymorph in meV/atom: 0
Space-group type: P4/mmm, No. 123

=====

First-principles (PBE) data for CeNi2Pd4 after structural relaxation, as listed in the Alexandria database.

Geometry as POSCAR:
```
CeNi2Pd4
1.0
-2.6250 3.2673 3.2970
2.6250 -3.2673 3.2970
2.6250 3.2673 -3.2970
Ce Ni Pd
1 2 4
direct
0.0000 0.0000 0.0000
0.5000 0.2489 0.7489
0.5000 0.7511 0.2511
0.0013 0.2931 0.7081
0.4150 0.7069 0.7081
0.5850 0.2931 0.2919
0.9987 0.7069 0.2919
```

Summary:
Energy of formation from the pure elements in eV/atom: -0.370
Space-group type: Immm, No. 71

=====

First-principles (PBE) data for Ce2Ni2Pd after structural relaxation, as listed in the Alexandria database.

Geometry as POSCAR:
```
Ce2Ni2Pd
1.0
7.1990 0.0000 0.0000
0.0000 7.1990 0.0000
0.0000 0.0000 3.6642
Ce Ni Pd
4 4 2
direct
0.1786 0.3214 0.0000
0.3214 0.8214 0.0000
0.6786 0.1786 0.0000
0.8214 0.6786 0.0000
0.1243 0.6243 0.5000
0.3757 0.1243 0.5000
0.6243 0.8757 0.5000
0.8757 0.3757 0.5000
0.0000 0.0000 0.5000
0.5000 0.5000 0.5000
```

Summary:
Energy of formation from the pure elements in eV/atom: -0.495
Space-group type: P4/mbm, No. 127

=====

First-principles (PBE) data for CeNiPd after structural relaxation, as listed in the Alexandria database.

Geometry as POSCAR:
```
CeNiPd
1.0
-1.7529 1.7529 4.4972
1.7529 -1.7529 4.4972
1.7529 1.7529 -4.4972
Ce Ni Pd
1 1 1
direct
0.0000 0.0000 0.0000
0.6561 0.6561 0.0000
0.3149 0.3149 0.0000
```

Summary:
Energy of formation from the pure elements in eV/atom: -0.371
ΔE to the lowest computed polymorph in meV/atom: 150
Space-group type: I4mm, No. 107

=====

First-principles (PBE) data for CeNiPd after structural relaxation, as listed in the Alexandria database.

Geometry as POSCAR:
```
CeNiPd
1.0
4.3565 0.0000 0.0000
-2.1783 3.7728 0.0000
0.0000 0.0000 3.5565
Ce Ni Pd
1 1 1
direct
0.0000 0.0000 0.0000
0.6667 0.3333 0.5000
0.3333 0.6667 0.5000
```

Summary:
Energy of formation from the pure elements in eV/atom: -0.453
ΔE to the lowest computed polymorph in meV/atom: 67
Space-group type: P-6m2, No. 187

=====

First-principles (PBE) data for CeNi8Pd3 after structural relaxation, as listed in the Alexandria database.

Geometry as POSCAR:
```
CeNi8Pd3
1.0
4.8432 0.0000 0.0000
-2.4216 4.1944 0.0000
0.0000 0.0000 7.8369
Ce Ni Pd
1 8 3
direct
0.0000 0.0000 0.0000
0.1653 0.3305 0.6760
0.1653 0.8347 0.6760
0.3333 0.6667 0.4298
0.3333 0.6667 0.9291
0.5024 0.0048 0.1898
0.5024 0.4976 0.1898
0.6695 0.8347 0.6760
0.9952 0.4976 0.1898
0.0000 0.0000 0.3815
0.6667 0.3333 0.4933
0.6667 0.3333 0.8592
```

Summary:
Energy of formation from the pure elements in eV/atom: -0.165
Space-group type: P3m1, No. 156

=====

First-principles (PBE) data for CePmNiPd after structural relaxation, as listed in the Alexandria database.

Geometry as POSCAR:
```
CePmNiPd
1.0
0.0000 3.5313 3.5313
3.5313 0.0000 3.5313
3.5313 3.5313 0.0000
Ce Pm Ni Pd
1 1 1 1
direct
0.0000 0.0000 0.0000
0.5000 0.5000 0.5000
0.7500 0.7500 0.7500
0.2500 0.2500 0.2500
```

Summary:
Energy of formation from the pure elements in eV/atom: -0.432
Space-group type: F-43m, No. 216

=====

First-principles (PBE) data for CePrNiPd after structural relaxation, as listed in the Alexandria database.

Geometry as POSCAR:
```
CePrNiPd
1.0
0.0000 3.5571 3.5571
3.5571 0.0000 3.5571
3.5571 3.5571 0.0000
Ce Pr Ni Pd
1 1 1 1
direct
0.0000 0.0000 0.0000
0.5000 0.5000 0.5000
0.2500 0.2500 0.2500
0.7500 0.7500 0.7500
```

Summary:
Energy of formation from the pure elements in eV/atom: -0.397
Space-group type: F-43m, No. 216

=====

First-principles (PBE) data for CeNiPdPt after structural relaxation, as listed in the Alexandria database.

Geometry as POSCAR:
```
CeNiPdPt
1.0
0.0000 3.2644 3.2644
3.2644 0.0000 3.2644
3.2644 3.2644 0.0000
Ce Ni Pd Pt
1 1 1 1
direct
0.0000 0.0000 0.0000
0.7500 0.7500 0.7500
0.2500 0.2500 0.2500
0.5000 0.5000 0.5000
```

Summary:
Energy of formation from the pure elements in eV/atom: -0.541
Space-group type: F-43m, No. 216

=====

First-principles (PBE) data for CeNiPdRh after structural relaxation, as listed in the Alexandria database.

Geometry as POSCAR:
```
CeNiPdRh
1.0
3.9505 0.0000 0.0000
0.0000 4.0089 0.0000
0.0000 0.0000 4.1719
Ce Ni Pd Rh
1 1 1 1
direct
0.0000 0.0000 0.0000
0.5000 0.0000 0.5000
0.0000 0.5000 0.5000
0.5000 0.5000 0.0000
```

Summary:
Energy of formation from the pure elements in eV/atom: -0.595
Space-group type: Pmmm, No. 47

=====

First-principles (PBE) data for Ce2Ni3Sb4Pd after structural relaxation, as listed in the Alexandria database.

Geometry as POSCAR:
```
Ce2Ni3Sb4Pd
1.0
4.5613 0.0000 0.0000
0.0000 4.5613 0.0000
0.0000 0.0000 9.9268
Ce Ni Sb Pd
2 3 4 1
direct
0.0000 0.5000 0.2441
0.5000 0.0000 0.7559
0.0000 0.0000 0.0000
0.0000 0.5000 0.6152
0.5000 0.0000 0.3848
0.0000 0.0000 0.5000
0.0000 0.5000 0.8649
0.5000 0.0000 0.1351
0.5000 0.5000 0.5000
0.5000 0.5000 0.0000
```

Summary:
Space-group type: P-4m2, No. 115
E_form (uncorrected) in meV/atom: -664

=====

First-principles (PBE) data for CeScNiPd after structural relaxation, as listed in the Alexandria database.

Geometry as POSCAR:
```
CeScNiPd
1.0
0.0000 3.3980 3.3980
3.3980 0.0000 3.3980
3.3980 3.3980 0.0000
Ce Sc Ni Pd
1 1 1 1
direct
0.0000 0.0000 0.0000
0.5000 0.5000 0.5000
0.2500 0.2500 0.2500
0.7500 0.7500 0.7500
```

Summary:
Energy of formation from the pure elements in eV/atom: -0.481
Space-group type: F-43m, No. 216

=====

First-principles (PBE) data for Ce2Si3Ni4Pd after structural relaxation, as listed in the Alexandria database.

Geometry as POSCAR:
```
Ce2Si3Ni4Pd
1.0
3.9193 0.0000 0.0000
0.0000 3.9193 0.0000
0.0000 0.0000 10.2611
Ce Si Ni Pd
2 3 4 1
direct
0.0000 0.5000 0.2501
0.5000 0.0000 0.7499
0.0000 0.0000 0.0000
0.0000 0.5000 0.6197
0.5000 0.0000 0.3803
0.0000 0.0000 0.5000
0.0000 0.5000 0.8448
0.5000 0.0000 0.1552
0.5000 0.5000 0.5000
0.5000 0.5000 0.0000
```

Summary:
Space-group type: P-4m2, No. 115
E_form (uncorrected) in meV/atom: -710

=====

First-principles (PBE) data for Ce3Si6NiPd2 after structural relaxation, as listed in the Alexandria database.

Geometry as POSCAR:
```
Ce3Si6NiPd2
1.0
5.7270 0.0000 0.0000
-2.8635 4.9597 0.0000
0.0000 0.0000 7.8998
Ce Si Ni Pd
3 6 1 2
direct
0.0000 0.0000 0.0000
0.3333 0.6667 0.6389
0.6667 0.3333 0.3611
0.1862 0.3723 0.3034
0.1862 0.8138 0.3034
0.3723 0.1862 0.6966
0.6277 0.8138 0.3034
0.8138 0.1862 0.6966
0.8138 0.6277 0.6966
0.0000 0.0000 0.5000
0.3333 0.6667 0.0466
0.6667 0.3333 0.9534
```

Summary:
Space-group type: P-3m1, No. 164
E_form (uncorrected) in meV/atom: -486

=====

First-principles (PBE) data for Ce2NiSn4Pd3 after structural relaxation, as listed in the Alexandria database.

Geometry as POSCAR:
```
Ce2NiSn4Pd3
1.0
4.5558 0.0000 0.0000
0.0000 4.5558 0.0000
0.0000 0.0000 10.7014
Ce Ni Sn Pd
2 1 4 3
direct
0.0000 0.5000 0.2344
0.5000 0.0000 0.7656
0.5000 0.5000 0.0000
0.0000 0.0000 0.5000
0.0000 0.5000 0.8780
0.5000 0.0000 0.1220
0.5000 0.5000 0.5000
0.0000 0.0000 0.0000
0.0000 0.5000 0.6348
0.5000 0.0000 0.3652
```

Summary:
Energy of formation from the pure elements in eV/atom: -0.640
Space-group type: P-4m2, No. 115

=====

First-principles (PBE) data for CeNiSnPd after structural relaxation, as listed in the Alexandria database.

Geometry as POSCAR:
```
CeNiSnPd
1.0
0.0000 3.3830 3.3830
3.3830 0.0000 3.3830
3.3830 3.3830 0.0000
Ce Ni Sn Pd
1 1 1 1
direct
0.0000 0.0000 0.0000
0.7500 0.7500 0.7500
0.5000 0.5000 0.5000
0.2500 0.2500 0.2500
```

Summary:
Energy of formation from the pure elements in eV/atom: -0.559
Space-group type: F-43m, No. 216

=====

First-principles (PBE) data for CeTlNiPd after structural relaxation, as listed in the Alexandria database.

Geometry as POSCAR:
```
CeTlNiPd
1.0
0.0000 3.4118 3.4118
3.4118 0.0000 3.4118
3.4118 3.4118 0.0000
Ce Tl Ni Pd
1 1 1 1
direct
0.0000 0.0000 0.0000
0.5000 0.5000 0.5000
0.7500 0.7500 0.7500
0.2500 0.2500 0.2500
```

Summary:
Energy of formation from the pure elements in eV/atom: -0.334
Space-group type: F-43m, No. 216

=====

| no. | calculated density (g/cm³) | DFT total energy (eV per atom) |
| --- | --- | --- |
| 1 | 8.58 | -6.10 |
| 2 | 9.13 | -5.95 |
| 3 | 9.59 | -5.91 |
| 4 | 9.36 | -6.11 |
| 5 | 9.07 | -5.97 |
| 6 | 9.30 | -6.16 |
| 7 | 9.30 | -6.18 |
| 8 | 9.14 | -6.16 |
| 9 | 8.80 | -6.14 |
| 10 | 10.03 | -6.13 |
| 11 | 10.03 | -5.84 |
| 12 | 8.81 | -6.22 |
| 13 | 9.17 | -6.01 |
| 14 | 8.67 | -6.09 |
| 15 | 9.69 | -5.81 |
| 16 | 8.49 | -5.85 |
| 17 | 8.23 | -5.82 |
| 18 | 11.94 | -6.28 |
| 19 | 10.26 | -6.66 |
| 20 | 8.44 | -5.75 |
| 21 | 7.41 | -6.29 |
| 22 | 7.43 | -6.36 |
| 23 | 6.37 | -6.03 |
| 24 | 8.47 | -5.56 |
| 25 | 9.09 | -5.79 |
| 26 | 10.65 | -5.15 |